The following is a DFT calculation (GGA-PBE) of SrAcZn2Cu2 after structural relaxation.

Structure (POSCAR):
```
SrAcZn2Cu2
1.0
4.505 0.000 0.000
-2.252 3.901 0.000
0.000 0.000 8.225
Sr Ac Zn Cu
1 1 2 2
direct
0.000 0.000 0.000
0.000 0.000 0.500
0.333 0.667 0.748
0.667 0.333 0.252
0.333 0.667 0.258
0.667 0.333 0.742
```

Values from the calculation:
E	-2.96	eV/atom
V	24.09	Å³ per atom